Entry 1:
Density functional theory data (PBE) for a geometry-optimized La2AlSe structure.

Cell: 6.207 6.207 4.996 Å, 90.07 90.07 36.22°
Atoms (fractional coordinates):
La: 0.997 0.997 0.876
La: 0.251 0.251 0.374
Se: 0.514 0.514 0.376
Al: 0.738 0.738 0.874

**Formation energy from raw total energies**: -0.950 eV per atom


Entry 2:
Density functional theory data (PBE) for a geometry-optimized CaY structure.

Cell: 10.839 10.839 10.839 Å, 90.00 90.00 90.00°
Atoms (fractional coordinates):
Y: 0.104 0.104 0.896
Y: 0.604 0.604 0.396
Y: 0.104 0.896 0.104
Y: 0.896 0.104 0.104
Y: 0.896 0.896 0.896
Y: 0.396 0.396 0.396
Y: 0.396 0.604 0.604
Y: 0.604 0.396 0.604
Ca: 0.299 0.299 0.701
Ca: 0.701 0.299 0.299
Ca: 0.201 0.201 0.201
Ca: 0.799 0.201 0.799
Ca: 0.299 0.701 0.299
Ca: 0.701 0.701 0.701
Ca: 0.799 0.799 0.201
Ca: 0.201 0.799 0.799

**ΔE_f**: 1.1115 eV per atom


Entry 3:
Density functional theory data (PBE) for a geometry-optimized TlBiW2 structure.

Cell: 4.253 4.253 10.603 Å, 78.43 78.43 90.00°
Atoms (fractional coordinates):
W: 0.875 0.804 0.750
W: 0.196 0.625 0.250
W: 0.375 0.446 0.750
W: 0.554 0.125 0.250
Tl: 0.250 0.750 0.500
Tl: 0.500 0.500 0.000
Bi: 0.000 0.000 0.000
Bi: 0.750 0.250 0.500

**ΔE_f**: 1.2737 eV per atom


Entry 4:
Density functional theory data (PBE) for a geometry-optimized Li5Ho4Au6 structure.

Cell: 4.085 10.883 14.557 Å, 90.00 90.00 100.82°
Atoms (fractional coordinates):
Li: 0.548 0.096 0.168
Li: 0.312 0.625 0.614
Li: 0.322 0.645 0.266
Li: 0.347 0.695 0.984
Li: 0.178 0.356 0.627
Li: 0.452 0.904 0.668
Li: 0.678 0.355 0.766
Li: 0.653 0.305 0.484
Li: 0.822 0.644 0.127
Li: 0.688 0.375 0.114
Au: 0.422 0.843 0.427
Au: 0.578 0.157 0.927
Au: 0.773 0.546 0.956
Au: 0.448 0.897 0.862
Au: 0.552 0.103 0.362
Au: 0.418 0.837 0.138
Au: 0.582 0.163 0.638
Au: 0.742 0.485 0.279
Au: 0.102 0.204 0.104
Au: 0.258 0.515 0.779
Au: 0.898 0.796 0.604
Au: 0.227 0.454 0.456
Ho: 0.043 0.086 0.780
Ho: 0.823 0.646 0.441
Ho: 0.957 0.914 0.280
Ho: 0.022 0.045 0.513
Ho: 0.142 0.283 0.295
Ho: 0.858 0.717 0.795
Ho: 0.978 0.955 0.013
Ho: 0.177 0.354 0.941

**ΔE_f**: -0.6012 eV per atom


Entry 5:
Density functional theory data (PBE) for a geometry-optimized Th3SbTe3 structure.

Cell: 8.871 8.871 8.833 Å, 60.15 60.15 60.86°
Atoms (fractional coordinates):
Th: 0.000 0.500 0.246
Th: 0.001 0.001 0.249
Th: 0.500 0.000 0.246
Th: 0.500 0.000 0.754
Th: 0.999 0.999 0.751
Th: 0.000 0.500 0.754
Te: 0.738 0.738 0.512
Te: 0.262 0.262 0.488
Te: 0.741 0.259 0.000
Te: 0.741 0.259 0.500
Te: 0.259 0.741 0.000
Te: 0.259 0.741 0.500
Sb: 0.262 0.262 0.988
Sb: 0.738 0.738 0.012

**Formation energy from raw total energies**: -1.060 eV per atom


Entry 6:
Density functional theory data (PBE) for a geometry-optimized SmZn6Co6 structure.

Cell: 4.917 6.541 6.541 Å, 82.09 67.92 67.92°
Atoms (fractional coordinates):
Zn: 0.705 0.795 0.795
Zn: 0.000 0.340 0.660
Zn: 0.295 0.205 0.205
Zn: 0.649 0.351 0.351
Zn: 0.000 0.660 0.340
Zn: 0.351 0.649 0.649
Co: 0.500 0.236 0.764
Co: 0.000 0.500 0.000
Co: 0.500 0.764 0.236
Co: 0.000 0.000 0.500
Co: 0.500 0.500 0.000
Co: 0.500 0.000 0.500
Sm: 0.000 0.000 0.000

**ΔE_f**: -0.1137 eV per atom


Entry 7:
Density functional theory data (PBE) for a geometry-optimized Nb3TcOs structure.

Cell: 4.806 4.806 4.806 Å, 90.00 90.00 90.00°
Atoms (fractional coordinates):
Nb: 0.000 0.000 0.500
Nb: 0.000 0.500 0.000
Nb: 0.500 0.000 0.000
Tc: 0.500 0.500 0.500
Os: 0.000 0.000 0.000

**ΔE_f**: 1.4122 eV per atom


Entry 8:
Density functional theory data (PBE) for a geometry-optimized PrMgSn structure.

Cell: 8.755 8.755 8.755 Å, 149.98 149.98 42.98°
Atoms (fractional coordinates):
Pr: 0.335 0.335 0.000
Pr: 0.665 0.665 0.000
Sn: 0.133 0.133 0.000
Sn: 0.867 0.867 0.000
Mg: 0.500 0.000 0.500
Mg: 0.000 0.500 0.500

**ΔE_f**: -0.6131 eV per atom


Entry 9:
Density functional theory data (PBE) for a geometry-optimized HgAuSe4 structure.

Cell: 5.775 5.775 5.775 Å, 60.00 60.00 60.00°
Atoms (fractional coordinates):
Se: 0.374 0.374 0.374
Se: 0.877 0.374 0.374
Se: 0.374 0.877 0.374
Se: 0.374 0.374 0.877
Au: 0.750 0.750 0.750
Hg: 0.000 0.000 0.000

**Formation energy from raw total energies**: 0.601 eV per atom


Entry 10:
Density functional theory data (PBE) for a geometry-optimized SrYSn2 structure.

Cell: 4.057 4.057 7.374 Å, 90.00 90.00 90.00°
Atoms (fractional coordinates):
Sn: 0.000 0.000 0.211
Sn: 0.000 0.000 0.789
Sr: 0.500 0.500 0.500
Y: 0.500 0.500 0.000

**ΔE_f**: -0.6141 eV per atom


Entry 11:
Density functional theory data (PBE) for a geometry-optimized Tb2Pr4Y3 structure.

Cell: 6.270 6.271 10.896 Å, 106.42 106.43 48.56°
Atoms (fractional coordinates):
Tb: 0.668 0.668 0.224
Tb: 0.332 0.332 0.776
Pr: 0.000 0.000 0.668
Pr: 0.333 0.333 0.111
Pr: 0.667 0.667 0.889
Pr: 0.000 0.000 0.332
Y: 0.666 0.666 0.554
Y: 0.000 0.000 0.000
Y: 0.334 0.334 0.446

**ΔE_f**: 0.0162 eV per atom


Entry 12:
Density functional theory data (PBE) for a geometry-optimized SrRuBr3 structure.

Cell: 5.882 5.882 5.882 Å, 90.00 90.00 90.00°
Atoms (fractional coordinates):
Ru: 0.500 0.500 0.500
Br: 0.000 0.000 0.500
Br: 0.500 0.000 0.000
Br: 0.000 0.500 0.000
Sr: 0.000 0.000 0.000

**Formation energy from raw total energies**: -0.105 eV per atom


Entry 13:
Density functional theory data (PBE) for a geometry-optimized NaAgTeN2 structure.

Cell: 4.340 4.340 5.884 Å, 90.00 90.00 90.00°
Atoms (fractional coordinates):
Na: 0.500 0.500 0.500
Te: 0.000 0.000 0.500
N: 0.500 0.000 0.000
N: 0.000 0.500 0.000
Ag: 0.000 0.000 0.000

**Formation energy from raw total energies**: 1.427 eV per atom


Entry 14:
Density functional theory data (PBE) for a geometry-optimized LiPm2Au4 structure.

Cell: 5.138 5.138 8.080 Å, 61.79 61.79 61.14°
Atoms (fractional coordinates):
Au: 0.795 0.795 0.382
Au: 0.205 0.205 0.618
Au: 0.552 0.552 0.229
Au: 0.448 0.448 0.771
Pm: 0.213 0.213 0.226
Pm: 0.787 0.787 0.774
Li: 0.000 0.000 0.000

**ΔE_f**: -0.6801 eV per atom


Entry 15:
Density functional theory data (PBE) for a geometry-optimized ScAlPS2 structure.

Cell: 4.609 4.609 4.600 Å, 90.00 90.00 90.00°
Atoms (fractional coordinates):
P: 0.000 0.000 0.500
Al: 0.000 0.000 0.000
S: 0.000 0.500 0.000
S: 0.500 0.000 0.000
Sc: 0.500 0.500 0.500

**Formation energy from raw total energies**: -0.346 eV per atom


Entry 16:
Density functional theory data (PBE) for a geometry-optimized Ba8AsAu3I4 structure.

Cell: 9.578 10.332 9.578 Å, 117.63 120.00 90.00°
Atoms (fractional coordinates):
Ba: 0.766 0.292 0.532
Ba: 0.740 0.708 0.974
Ba: 0.264 0.292 0.528
Ba: 0.234 0.708 0.468
Ba: 0.260 0.292 0.026
Ba: 0.234 0.708 0.974
Ba: 0.766 0.292 0.026
Ba: 0.736 0.708 0.472
I: 0.500 0.000 0.500
I: 0.500 0.000 0.000
I: 0.000 0.000 0.500
I: 0.000 0.000 0.000
As: 0.000 0.500 0.000
Au: 0.500 0.500 0.500
Au: 0.000 0.500 0.500
Au: 0.500 0.500 0.000

**Formation energy from raw total energies**: -1.136 eV per atom


Entry 17:
Density functional theory data (PBE) for a geometry-optimized Cs4LiCe3O8 structure.

Cell: 7.293 8.046 7.293 Å, 116.95 120.00 90.00°
Atoms (fractional coordinates):
O: 0.236 0.664 0.471
O: 0.276 0.327 0.552
O: 0.693 0.664 0.928
O: 0.765 0.336 0.072
O: 0.235 0.664 0.928
O: 0.307 0.336 0.072
O: 0.764 0.336 0.529
O: 0.724 0.673 0.448
Cs: 0.500 0.000 0.500
Cs: 0.500 0.000 0.000
Cs: 0.000 0.000 0.000
Cs: 0.000 0.000 0.500
Ce: 0.000 0.500 0.500
Ce: 0.500 0.500 0.500
Ce: 0.500 0.500 0.000
Li: 0.000 0.500 0.000

**Formation energy from raw total energies**: -2.384 eV per atom


Entry 18:
Density functional theory data (PBE) for a geometry-optimized Sc3VSb structure.

Cell: 5.312 5.312 5.312 Å, 90.00 90.00 90.00°
Atoms (fractional coordinates):
Sb: 0.000 0.000 0.000
Sc: 0.000 0.500 0.000
Sc: 0.500 0.000 0.000
Sc: 0.000 0.000 0.500
V: 0.500 0.500 0.500

**Formation energy from raw total energies**: 0.613 eV per atom


Entry 19:
Density functional theory data (PBE) for a geometry-optimized CaGaBN2 structure.

Cell: 4.295 4.295 5.727 Å, 90.00 90.00 90.00°
Atoms (fractional coordinates):
Ca: 0.000 0.000 0.000
B: 0.500 0.500 0.500
Ga: 0.000 0.000 0.500
N: 0.500 0.000 0.000
N: 0.000 0.500 0.000

**Formation energy from raw total energies**: 2.346 eV per atom


Entry 20:
Density functional theory data (PBE) for a geometry-optimized Na2TbHg4 structure.

Cell: 5.270 5.050 9.422 Å, 97.71 90.00 121.45°
Atoms (fractional coordinates):
Hg: 0.329 0.658 0.418
Hg: 0.671 0.342 0.582
Hg: 0.297 0.593 0.760
Hg: 0.703 0.407 0.240
Na: 0.342 0.684 0.100
Na: 0.658 0.316 0.900
Tb: 0.000 0.000 0.500

**ΔE_f**: -0.1545 eV per atom


Total DFT energy (no corrections) in hartree per atom, matching the order above: -0.1918; -0.1147; -0.2486; -0.1386; -0.2269; -0.1597; -0.3289; -0.1496; -0.0852; -0.1710; -0.1945; -0.1213; -0.1237; -0.1537; -0.1872; -0.1246; -0.2319; -0.2144; -0.1222; -0.0502
Magnetic moment in μB/cell, matching the order above: 0.00; 0.01; 0.00; 0.00; 0.00; 7.45; 1.66; 0.00; 0.00; 0.00; 0.00; 3.02; 4.36; 0.00; 0.00; 0.00; 1.08; 3.71; 0.17; 0.00
Density of states at the Fermi level in states/eV/cell, matching the order above: 4.4; 39.0; 8.8; 16.6; 10.6; 9.9; 9.7; 3.4; 5.1; 1.6; 12.2; 49.3; 2.0; 3.4; 1.7; 11.2; 7.7; 10.4; 3.4; 3.2